Entry 1:
Entry from the Alexandria database: crystalline Tl4PtI6 at its relaxed geometry (PBE-GGA).

Results
Symmetry: P4/mnc, No. 128
Formation energy from raw total energies (eV per atom): -0.416
Total magnetization (Bohr magnetons per cell): 0.9

Cell lengths 9.285, 9.285, 9.701 Å; angles 90.00, 90.00, 90.00 degrees
Element x y z (fractional)
Tl (0.353, 0.147, 0.250)
Tl (0.147, 0.647, 0.750)
Tl (0.647, 0.853, 0.750)
Tl (0.853, 0.353, 0.750)
Tl (0.353, 0.147, 0.750)
Tl (0.147, 0.647, 0.250)
Tl (0.853, 0.353, 0.250)
Tl (0.647, 0.853, 0.250)
Pt (0.500, 0.500, 0.000)
Pt (0.000, 0.000, 0.500)
I (0.295, 0.865, 0.500)
I (0.795, 0.635, 0.000)
I (0.635, 0.205, 0.000)
I (0.135, 0.295, 0.500)
I (0.000, 0.000, 0.225)
I (0.500, 0.500, 0.275)
I (0.365, 0.795, 0.000)
I (0.000, 0.000, 0.775)
I (0.205, 0.365, 0.000)
I (0.500, 0.500, 0.725)
I (0.865, 0.705, 0.500)
I (0.705, 0.135, 0.500)

***

Entry 2:
Entry from the Alexandria database: crystalline LiNbH2Pb at its relaxed geometry (PBE-GGA).

Results
Symmetry: P4/mmm, No. 123
Energy (eV/cell): -17.9
Total magnetization (Bohr magnetons per cell): 0.0

Cell lengths 3.946, 5.189, 3.946 Å; angles 90.00, 90.00, 90.00 degrees
Element x y z (fractional)
Pb (0.500, 0.500, 0.500)
H (0.000, 0.000, 0.500)
H (0.500, 0.000, 0.000)
Nb (0.000, 0.500, 0.000)
Li (0.000, 0.000, 0.000)

***

Entry 3:
Entry from the Alexandria database: crystalline Sr3CeHo3Se8 at its relaxed geometry (PBE-GGA).

Results
Symmetry: R-3m, No. 166
Formation energy from raw total energies (eV per atom): -1.892
Total magnetization (Bohr magnetons per cell): 1.1

Cell lengths 8.345, 8.344, 8.599 Å; angles 119.03, 90.00, 120.00 degrees
Element x y z (fractional)
Sr (0.000, 0.000, 0.000)
Sr (0.000, 0.500, 0.000)
Sr (0.500, 0.500, 0.000)
Ce (0.000, 0.000, 0.500)
Ho (0.500, 0.000, 0.500)
Ho (0.500, 0.500, 0.500)
Ho (0.000, 0.500, 0.500)
Se (0.257, 0.514, 0.271)
Se (0.743, 0.486, 0.729)
Se (0.751, 0.502, 0.269)
Se (0.249, 0.498, 0.731)
Se (0.751, 0.018, 0.269)
Se (0.249, 0.982, 0.731)
Se (0.267, 0.018, 0.269)
Se (0.733, 0.982, 0.731)